Ca2BeAu | PBEsol | optimized geometry

Cell lengths 3.653, 4.991, 5.769 Å; angles 115.63, 108.46, 90.00 degrees
Fractional coordinates of all 4 atoms:
Be 0.191 0.191 0.383
Au 0.558 0.058 0.116
Ca 0.775 0.775 0.551
Ca 0.975 0.475 0.950

Properties
- calculated volume (Å³ per atom) = 22.201
- space-group type = Imm2 (44)
- formation energy (eV per formula unit) = -0.883

---

Ca2BeAu | PBEsol | optimized geometry

Cell lengths 6.410, 6.410, 6.410 Å; angles 105.27, 105.27, 118.26 degrees
Fractional coordinates of all 8 atoms:
Ca 0.625 0.124 0.999
Be 0.500 0.500 0.000
Ca 0.374 0.375 0.499
Ca 0.876 0.875 0.501
Au 0.250 0.750 0.500
Au 0.000 0.000 0.000
Be 0.750 0.250 0.500
Ca 0.125 0.626 0.001

Properties
- calculated volume (Å³ per atom) = 24.890
- space-group type = I-42d (122)
- formation energy (eV per formula unit) = 0.842